[1]
Compound: SnAsNF2
Source: Alexandria
Functional: PBE
Structure: optimized geometry

POSCAR file:
```
SnAsNF2
1.0
-2.7920 2.3471 2.1868
-0.2031 -3.0226 2.9848
3.2130 1.8618 2.1039
As N Sn F
1 1 1 2
Direct
0.5000 0.5000 0.5000
0.0000 0.0000 0.5000
0.0000 0.0000 0.0000
0.0000 0.5000 0.0000
0.5000 0.0000 0.0000
```

Summary:
- SG = P4/mmm
- N(E_F) (states/eV/cell) = 1.72
- formation energy from raw total energies (eV/atom) = -0.31
- mass density (g/cm3) = 5.284
- excess energy over the best structure of this formula in the dataset (meV/atom) = 191
- uncorrected energy (eV for the cell shown) = -22.3

[2]
Compound: Ti4Ga2Cu3
Source: Alexandria
Functional: PBE
Structure: optimized geometry

POSCAR file:
```
Ti4Ga2Cu3
1.0
-3.1626 2.5243 0.5409
-4.3718 -2.0467 -0.5996
-2.1693 -4.1156 6.5263
Ti Ga Cu
4 2 3
Direct
0.6581 0.6839 0.8872
0.0286 0.9429 0.3409
0.9714 0.0572 0.6591
0.3419 0.3161 0.1128
0.3078 0.3844 0.7546
0.6922 0.6156 0.2454
0.3491 0.3014 0.4466
0.0000 0.0000 0.0000
0.6509 0.6986 0.5534
```

Summary:
- DFT formation energy (eV/atom) = -0.23
- SG = C2/m
- N(E_F) (states/eV/cell) = 8.40
- mass density (g/cm3) = 6.527
- uncorrected energy (eV for the cell shown) = -52.0

[3]
Compound: LaPmNiPd
Source: Alexandria
Functional: PBE
Structure: optimized geometry

POSCAR file:
```
LaPmNiPd
1.0
3.9112 0.0000 0.0000
0.0000 4.5368 0.0000
-1.9556 0.0000 5.3559
La Pm Ni Pd
1 1 1 1
Direct
0.8607 0.5000 0.7215
0.1352 0.0000 0.2704
0.5834 0.5000 0.1668
0.4207 0.0000 0.8414
```

Summary:
- DFT formation energy (eV/atom) = -0.57
- SG = Amm2
- N(E_F) (states/eV/cell) = 2.54
- mass density (g/cm3) = 7.845
- excess energy over the best structure of this formula in the dataset (meV/atom) = 0
- uncorrected energy (eV for the cell shown) = -22.9

[4]
Compound: K3NbOs
Source: Alexandria
Functional: PBE
Structure: optimized geometry

POSCAR file:
```
K3NbOs
1.0
-0.3281 3.5034 5.0610
-4.3962 -3.6807 2.2629
4.3082 -3.4891 2.6946
Nb Os K
1 1 3
Direct
0.5000 0.5000 0.5000
0.0000 0.0000 0.0000
0.0000 0.5000 0.0000
0.0000 0.0000 0.5000
0.5000 0.0000 0.0000
```

Summary:
- DFT formation energy (eV/atom) = 2.36
- SG = Pm-3m
- N(E_F) (states/eV/cell) = 19.09
- mass density (g/cm3) = 2.839
- excess energy over the best structure of this formula in the dataset (meV/atom) = 0
- uncorrected energy (eV for the cell shown) = -12.8

The highest uncorrected energy belongs to which entry?
K3NbOs

Which of these has the highest mass density?
LaPmNiPd

What is the formula in the second record?
Ti4Ga2Cu3